First-principles (PBE-GGA) data for MnNiIr3 after structural relaxation, as listed in the Alexandria database.

## Properties
* V: 17.751 Å³ per atom
* energy: -6.8999 eV/atom
* formation energy: 1.41 eV/atom
* distance to the lowest polymorph of the same formula: 0.0 meV per atom

Cell lengths 4.461, 4.461, 4.461 Å; angles 90.00, 90.00, 90.00 degrees
Space group Pm-3m (No. 221)
Asymmetric unit:
Mn1 0.000 0.000 0.000 [1 per cell]
Ni1 0.500 0.500 0.500 [1 per cell]
Ir1 0.000 0.500 0.500 [3 per cell]


First-principles (PBE-GGA) data for CaDy14Ho after structural relaxation, as listed in the Alexandria database.

## Properties
* V: 32.236 Å³ per atom
* energy: -4.4102 eV/atom
* formation energy: 0.03 eV/atom

Cell lengths 11.292, 7.263, 12.577 Å; angles 90.00, 90.00, 90.00 degrees
Space group Amm2 (No. 38)
Asymmetric unit:
Ca1 0.000 0.000 0.000 [2 per cell]
Dy1 0.000 0.249 0.750 [4 per cell]
Dy2 0.247 0.000 0.667 [4 per cell]
Dy3 0.254 0.000 0.169 [4 per cell]
Dy4 0.254 0.247 0.416 [8 per cell]
Dy5 0.500 0.000 0.000 [2 per cell]
Dy6 0.500 0.000 0.500 [2 per cell]
Dy7 0.500 0.250 0.250 [4 per cell]
Ho1 0.000 0.000 0.501 [2 per cell]


First-principles (PBE-GGA) data for CaZn2Rh2 after structural relaxation, as listed in the Alexandria database.

## Properties
* V: 16.404 Å³ per atom
* energy: -4.2545 eV/atom
* formation energy: -0.40 eV/atom
* distance to the lowest polymorph of the same formula: 0.0 meV per atom

Cell lengths 7.353, 7.353, 3.034 Å; angles 90.00, 90.00, 90.00 degrees
Space group P4/mbm (No. 127)
Asymmetric unit:
Ca1 0.000 0.000 0.000 [2 per cell]
Zn1 0.127 0.373 0.000 [4 per cell]
Rh1 0.166 0.666 0.500 [4 per cell]


First-principles (PBE-GGA) data for TbNp2PaS4 after structural relaxation, as listed in the Alexandria database.

## Properties
* ΔE_f (raw): -1241 kJ/mol of formula units
* V: 20.959 Å³ per atom
* energy: -8.6722 eV/atom

Cell lengths 6.700, 3.910, 6.795 Å; angles 90.00, 109.61, 90.00 degrees
Space group P2/m (No. 10)
Asymmetric unit:
Tb1 0.000 0.000 0.000 [1 per cell]
Np1 0.500 0.000 0.500 [1 per cell]
Np2 0.500 0.500 0.000 [1 per cell]
Pa1 0.000 0.500 0.500 [1 per cell]
S1 0.252 0.500 0.250 [2 per cell]
S2 0.254 0.000 0.753 [2 per cell]


First-principles (PBE-GGA) data for BaSnSb2Br after structural relaxation, as listed in the Alexandria database.

## Properties
* ΔE_f (raw): -97 kJ/mol of formula units
* V: 43.534 Å³ per atom
* energy: -3.3698 eV/atom
* distance to the lowest polymorph of the same formula: 0.0 meV per atom

Cell lengths 5.539, 5.539, 7.094 Å; angles 90.00, 90.00, 90.00 degrees
Space group P4/mmm (No. 123)
Asymmetric unit:
Ba1 0.000 0.000 0.000 [1 per cell]
Sn1 0.000 0.000 0.500 [1 per cell]
Sb1 0.000 0.500 0.500 [2 per cell]
Br1 0.500 0.500 0.000 [1 per cell]


First-principles (PBE-GGA) data for SiB2I2 after structural relaxation, as listed in the Alexandria database.

## Properties
* ΔE_f (raw): 869 kJ/mol of formula units
* V: 22.274 Å³ per atom
* energy: -2.5742 eV/atom
* distance to the lowest polymorph of the same formula: 200.1 meV per atom

Cell lengths 8.076, 8.076, 3.415 Å; angles 90.00, 90.00, 90.00 degrees
Space group P4/mbm (No. 127)
Asymmetric unit:
Si1 0.000 0.000 0.000 [2 per cell]
B1 0.194 0.306 0.500 [4 per cell]
I1 0.162 0.662 0.000 [4 per cell]


First-principles (PBE-GGA) data for SbAuCl2 after structural relaxation, as listed in the Alexandria database.

## Properties
* ΔE_f (raw): -159 kJ/mol of formula units
* V: 27.989 Å³ per atom
* energy: -3.1842 eV/atom
* distance to the lowest polymorph of the same formula: 35.2 meV per atom

Cell lengths 3.9712, 3.9712, 24.5923 Å; angles 90.00, 90.00, 120.00 degrees
Space group R3m (No. 160, hexagonal axes)
Asymmetric unit:
Sb1 0.0000 0.0000 0.0000 [3 per cell]
Au1 0.0000 0.0000 0.2686 [3 per cell]
Cl1 0.0000 0.0000 0.5432 [3 per cell]
Cl2 0.0000 0.0000 0.7362 [3 per cell]


First-principles (PBE-GGA) data for PmNdHg2 after structural relaxation, as listed in the Alexandria database.

## Properties
* V: 30.420 Å³ per atom
* energy: -2.8580 eV/atom
* formation energy: -0.33 eV/atom
* distance to the lowest polymorph of the same formula: 146.9 meV per atom

Cell lengths 3.8908, 3.8908, 27.8437 Å; angles 90.00, 90.00, 120.00 degrees
Space group R3m (No. 160, hexagonal axes)
Asymmetric unit:
Pm1 0.0000 0.0000 0.0000 [3 per cell]
Nd1 0.0000 0.0000 0.8337 [3 per cell]
Hg1 0.0000 0.0000 0.4161 [3 per cell]
Hg2 0.0000 0.0000 0.5843 [3 per cell]


First-principles (PBE-GGA) data for V3RuS after structural relaxation, as listed in the Alexandria database.

## Properties
* ΔE_f (raw): 108 kJ/mol of formula units
* V: 15.050 Å³ per atom
* energy: -7.9278 eV/atom
* distance to the lowest polymorph of the same formula: 0.0 meV per atom

Cell lengths 4.222, 4.222, 4.222 Å; angles 90.00, 90.00, 90.00 degrees
Space group Pm-3m (No. 221)
Asymmetric unit:
V1 0.000 0.000 0.500 [3 per cell]
Ru1 0.500 0.500 0.500 [1 per cell]
S1 0.000 0.000 0.000 [1 per cell]


First-principles (PBE-GGA) data for MnCu6Au12 after structural relaxation, as listed in the Alexandria database.

## Properties
* V: 16.187 Å³ per atom
* energy: -3.8728 eV/atom
* formation energy: -0.03 eV/atom
* distance to the lowest polymorph of the same formula: 0.0 meV per atom

Cell lengths 12.3718, 12.3718, 6.9608 Å; angles 90.00, 90.00, 120.00 degrees
Space group R-3 (No. 148, hexagonal axes)
Asymmetric unit:
Mn1 0.0000 0.0000 0.0000 [3 per cell]
Cu1 0.0336 0.7507 0.3301 [18 per cell]
Au1 0.0065 0.8673 0.6641 [18 per cell]
Au2 0.0658 0.5071 0.6702 [18 per cell]


First-principles (PBE-GGA) data for LaCr2ReI after structural relaxation, as listed in the Alexandria database.

## Properties
* ΔE_f (raw): 1260 kJ/mol of formula units
* V: 23.840 Å³ per atom
* energy: -5.0237 eV/atom

Cell lengths 4.529, 4.529, 5.812 Å; angles 90.00, 90.00, 90.00 degrees
Space group P4/mmm (No. 123)
Asymmetric unit:
La1 0.000 0.000 0.000 [1 per cell]
Cr1 0.000 0.500 0.000 [2 per cell]
Re1 0.500 0.500 0.500 [1 per cell]
I1 0.000 0.000 0.500 [1 per cell]


First-principles (PBE-GGA) data for Ba2TlFe after structural relaxation, as listed in the Alexandria database.

## Properties
* V: 34.639 Å³ per atom
* energy: -3.4340 eV/atom
* formation energy: 0.23 eV/atom

Cell lengths 12.921, 4.151, 5.771 Å; angles 90.00, 116.45, 90.00 degrees
Space group Cm (No. 8)
Asymmetric unit:
Ba1 0.000 0.000 0.000 [2 per cell]
Ba2 0.194 0.000 0.693 [2 per cell]
Tl1 0.281 0.500 0.280 [2 per cell]
Fe1 0.429 0.000 0.430 [2 per cell]


Number 1: spin magnetization 1.23 μB/cell. Number 2: spin magnetization 0.00 μB/cell. Number 3: spin magnetization 0.00 μB/cell. Number 4: spin magnetization 8.55 μB/cell. Number 5: spin magnetization 0.00 μB/cell. Number 6: spin magnetization 0.00 μB/cell. Number 7: spin magnetization 0.00 μB/cell. Number 8: spin magnetization 0.00 μB/cell. Number 9: spin magnetization 1.35 μB/cell. Number 10: spin magnetization 12.74 μB/cell. Number 11: spin magnetization 3.12 μB/cell. Number 12: spin magnetization 4.71 μB/cell.